# 1
DFT (PBE-GGA) results for CaZrTe4 after structural relaxation.

Computed properties:
As for the density: 5.843 g/cm³. For the volume, the calculation gives 729.5 Å³/cell. The calculated total energy comes out at -3.58 eV per atom. The calculation puts the energy relative to the elements, uncorrected at 25.9 kJ per mole of atoms.

Structure (CIF):
```
data_CaZrTe4
_symmetry_space_group_name_H-M 'F -4 3 m'
_symmetry_Int_Tables_number 216
_symmetry_space_group_name_Hall 'F -4 2 3'
_cell_length_a 9.002
_cell_length_b 9.002
_cell_length_c 9.002
_cell_angle_alpha 90.00
_cell_angle_beta 90.00
_cell_angle_gamma 90.00
loop_
_atom_site_label
_atom_site_fract_x
_atom_site_fract_y
_atom_site_fract_z
_atom_site_occupancy
Ca1 0.000 0.000 0.000 1
Zr1 0.250 0.250 0.250 1
Te1 0.124 0.124 0.624 1
```

***

# 2
DFT (PBE-GGA) results for Ca3ZrTe after structural relaxation.

Computed properties:
As for the density: 2.990 g/cm³. For the volume, the calculation gives 188.3 Å³/cell. The calculated total energy comes out at -2.91 eV per atom. The calculation puts the energy relative to the elements, uncorrected at 60.8 kJ per mole of atoms.

Structure (CIF):
```
data_Ca3ZrTe
_symmetry_space_group_name_H-M 'P m -3 m'
_symmetry_Int_Tables_number 221
_symmetry_space_group_name_Hall '-P 4 2 3'
_cell_length_a 5.732
_cell_length_b 5.732
_cell_length_c 5.732
_cell_angle_alpha 90.00
_cell_angle_beta 90.00
_cell_angle_gamma 90.00
loop_
_atom_site_label
_atom_site_fract_x
_atom_site_fract_y
_atom_site_fract_z
_atom_site_occupancy
Ca1 0.000 0.000 0.500 1
Zr1 0.000 0.000 0.000 1
Te1 0.500 0.500 0.500 1
```

***

# 3
DFT (PBE-GGA) results for CaZrTe2 after structural relaxation.

Computed properties:
As for the density: 5.723 g/cm³. For the volume, the calculation gives 224.3 Å³/cell. The calculated total energy comes out at -5.19 eV per atom. The calculation puts the energy relative to the elements, uncorrected at -94.4 kJ per mole of atoms.

Structure (CIF):
```
data_CaZrTe2
_symmetry_space_group_name_H-M 'A m m 2'
_symmetry_Int_Tables_number 38
_cell_length_a 6.047
_cell_length_b 6.090
_cell_length_c 6.090
_cell_angle_alpha 90.00
_cell_angle_beta 90.00
_cell_angle_gamma 90.00
loop_
_symmetry_equiv_pos_as_xyz
'x,y,z'
'-x,-y,z'
'-x,y,z'
'x,-y,z'
'x,y+1/2,z+1/2'
'-x,-y+1/2,z+1/2'
'-x,y+1/2,z+1/2'
'x,-y+1/2,z+1/2'
loop_
_atom_site_label
_atom_site_fract_x
_atom_site_fract_y
_atom_site_fract_z
_atom_site_occupancy
Ca1 0.000 0.000 0.000 1
Zr1 0.500 0.000 0.499 1
Te1 0.000 0.000 0.500 1
Te2 0.500 0.000 0.999 1
```

***

# 4
DFT (PBE-GGA) results for CaZrTe2 after structural relaxation.

Computed properties:
As for the density: 5.874 g/cm³. For the volume, the calculation gives 218.5 Å³/cell. The calculated total energy comes out at -5.08 eV per atom. The calculation puts the energy relative to the elements, uncorrected at -83.9 kJ per mole of atoms.

Structure (CIF):
```
data_CaZrTe2
_symmetry_space_group_name_H-M 'C 1 m 1'
_symmetry_Int_Tables_number 8
_cell_length_a 11.279
_cell_length_b 3.816
_cell_length_c 5.077
_cell_angle_alpha 90.00
_cell_angle_beta 90.11
_cell_angle_gamma 90.00
loop_
_symmetry_equiv_pos_as_xyz
'x,y,z'
'x,-y,z'
'x+1/2,y+1/2,z'
'x+1/2,-y+1/2,z'
loop_
_atom_site_label
_atom_site_fract_x
_atom_site_fract_y
_atom_site_fract_z
_atom_site_occupancy
Ca1 0.000 0.000 0.000 1
Zr1 0.211 0.000 0.501 1
Te1 0.230 0.500 0.001 1
Te2 0.491 0.000 0.500 1
```

***

# 5
DFT (PBE-GGA) results for Ca2ZrTe4 after structural relaxation.

Computed properties:
As for the density: 4.532 g/cm³. For the volume, the calculation gives 499.6 Å³/cell. The calculated total energy comes out at -4.55 eV per atom. The calculation puts the energy relative to the elements, uncorrected at -92.9 kJ per mole of atoms.

Structure (CIF):
```
data_Ca2ZrTe4
_symmetry_space_group_name_H-M 'I 4/m m m'
_symmetry_Int_Tables_number 139
_symmetry_space_group_name_Hall '-I 4 2'
_cell_length_a 5.620
_cell_length_b 5.620
_cell_length_c 15.820
_cell_angle_alpha 90.00
_cell_angle_beta 90.00
_cell_angle_gamma 90.00
loop_
_atom_site_label
_atom_site_fract_x
_atom_site_fract_y
_atom_site_fract_z
_atom_site_occupancy
Ca1 0.000 0.000 0.130 1
Zr1 0.000 0.000 0.500 1
Te1 0.000 0.000 0.318 1
Te2 0.000 0.500 0.000 1
```

***

# 6
DFT (PBE-GGA) results for CaZrTe2 after structural relaxation.

Computed properties:
As for the density: 4.006 g/cm³. For the volume, the calculation gives 640.9 Å³/cell. The calculated total energy comes out at -4.88 eV per atom. The calculation puts the energy relative to the elements, uncorrected at -64.8 kJ per mole of atoms.

Structure (CIF):
```
data_CaZrTe2
_symmetry_space_group_name_H-M 'I -4 2 d'
_symmetry_Int_Tables_number 122
_symmetry_space_group_name_Hall 'I -4 2bw'
_cell_length_a 6.741
_cell_length_b 6.741
_cell_length_c 14.104
_cell_angle_alpha 90.00
_cell_angle_beta 90.00
_cell_angle_gamma 90.00
loop_
_atom_site_label
_atom_site_fract_x
_atom_site_fract_y
_atom_site_fract_z
_atom_site_occupancy
Ca1 0.000 0.000 0.000 1
Zr1 0.000 0.000 0.500 1
Te1 0.222 0.250 0.625 1
```

***

# 7
DFT (PBE-GGA) results for CaZrTe2 after structural relaxation.

Computed properties:
As for the density: 5.689 g/cm³. For the volume, the calculation gives 225.6 Å³/cell. The calculated total energy comes out at -5.23 eV per atom. The calculation puts the energy relative to the elements, uncorrected at -98.2 kJ per mole of atoms.

Structure (CIF):
```
data_CaZrTe2
_symmetry_space_group_name_H-M 'I m m 2'
_symmetry_Int_Tables_number 44
_cell_length_a 3.904
_cell_length_b 3.992
_cell_length_c 14.477
_cell_angle_alpha 90.00
_cell_angle_beta 90.00
_cell_angle_gamma 90.00
loop_
_symmetry_equiv_pos_as_xyz
'x,y,z'
'-x,-y,z'
'-x,y,z'
'x,-y,z'
'x+1/2,y+1/2,z+1/2'
'-x+1/2,-y+1/2,z+1/2'
'-x+1/2,y+1/2,z+1/2'
'x+1/2,-y+1/2,z+1/2'
loop_
_atom_site_label
_atom_site_fract_x
_atom_site_fract_y
_atom_site_fract_z
_atom_site_occupancy
Ca1 0.000 0.000 0.000 1
Zr1 0.000 0.500 0.752 1
Te1 0.000 0.000 0.403 1
Te2 0.000 0.500 0.172 1
```

***

# 8
DFT (PBE-GGA) results for CaZrTe2 after structural relaxation.

Computed properties:
As for the density: 5.697 g/cm³. For the volume, the calculation gives 338.0 Å³/cell. The calculated total energy comes out at -5.26 eV per atom. The calculation puts the energy relative to the elements, uncorrected at -101.4 kJ per mole of atoms.

Structure (CIF):
```
data_CaZrTe2
_symmetry_space_group_name_H-M 'R -3 m'
_symmetry_Int_Tables_number 166
_symmetry_space_group_name_Hall '-R 3 2"'
_cell_length_a 4.2142
_cell_length_b 4.2142
_cell_length_c 21.9730
_cell_angle_alpha 90.00
_cell_angle_beta 90.00
_cell_angle_gamma 120.00
loop_
_atom_site_label
_atom_site_fract_x
_atom_site_fract_y
_atom_site_fract_z
_atom_site_occupancy
Ca1 0.0000 0.0000 0.0000 1
Zr1 0.0000 0.0000 0.5000 1
Te1 0.0000 0.0000 0.2448 1
```